Record 1
BaTbAsO | PBE | optimized geometry

Lattice parameters (Å, degrees): 4.4781 4.4781 9.5759 90.00 90.00 90.00
Sites, in units of the cell vectors:
As (0.7500, 0.7500, 0.2664)
As (0.2500, 0.2500, 0.7336)
Ba (0.7500, 0.2500, 0.5000)
Ba (0.2500, 0.7500, 0.5000)
O (0.7500, 0.2500, 0.0000)
O (0.2500, 0.7500, 0.0000)
Tb (0.2500, 0.2500, 0.0791)
Tb (0.7500, 0.7500, 0.9209)

Results
total magnetization: 0.00 μB per atom
E above lowest polymorph: 481 meV per atom
space group: P4/nmm
uncorrected energy: -5.603 eV per atom
mass density: 6.7 g/cm3

Record 2
YTm2In | PBE | optimized geometry

Lattice parameters (Å, degrees): 4.7906 4.7906 4.7959 90.00 90.00 90.00
Sites, in units of the cell vectors:
In (0.0000, 0.0000, 0.0000)
Tm (0.5000, 0.0000, 0.5000)
Tm (0.0000, 0.5000, 0.5000)
Y (0.5000, 0.5000, 0.0000)

Results
total magnetization: 0.03 μB per atom
space group: P4/mmm
uncorrected energy: -4.798 eV per atom
mass density: 8.2 g/cm3

Record 3
BeNbB4 | PBE | optimized geometry

Lattice parameters (Å, degrees): 2.9822 2.9822 6.5371 90.00 90.00 120.00
Sites, in units of the cell vectors:
B (0.6667, 0.3333, 0.2726)
B (0.3333, 0.6667, 0.2726)
B (0.6667, 0.3333, 0.7274)
B (0.3333, 0.6667, 0.7274)
Be (0.0000, 0.0000, 0.5000)
Nb (0.0000, 0.0000, 0.0000)

Results
total magnetization: 0.00 μB per atom
E above lowest polymorph: 0 meV per atom
space group: P6/mmm
uncorrected energy: -6.993 eV per atom
mass density: 4.8 g/cm3

Record 4
Te2Pt3Br2O6 | PBE | optimized geometry

Lattice parameters (Å, degrees): 5.7444 5.7444 8.3536 103.96 103.96 68.08
Sites, in units of the cell vectors:
Br (0.8101, 0.8101, 0.3982)
Br (0.1899, 0.1899, 0.6018)
O (0.1289, 0.1289, 0.1122)
O (0.6050, 0.2245, 0.1514)
O (0.2245, 0.6050, 0.1514)
O (0.7755, 0.3950, 0.8486)
O (0.3950, 0.7755, 0.8486)
O (0.8711, 0.8711, 0.8878)
Pt (0.5000, 0.5000, 0.0000)
Pt (0.8721, 0.8721, 0.1355)
Pt (0.1279, 0.1279, 0.8645)
Te (0.3159, 0.3159, 0.2691)
Te (0.6841, 0.6841, 0.7309)

Results
total magnetization: 0.03 μB per atom
space group: C2/m
uncorrected energy: -4.787 eV per atom
mass density: 7.4 g/cm3

Record 5
LaErU | PBE | optimized geometry

Lattice parameters (Å, degrees): 5.0395 5.0395 5.0395 60.00 60.00 60.00
Sites, in units of the cell vectors:
Er (0.0000, 0.0000, 0.0000)
La (0.7500, 0.7500, 0.7500)
U (0.5000, 0.5000, 0.5000)

Results
formation energy: 1198 meV per atom
total magnetization: 1.40 μB per atom
E above lowest polymorph: 0 meV per atom
space group: F-43m
uncorrected energy: -5.730 eV per atom
mass density: 10.0 g/cm3

Record 6
Er4IN2Cl | PBE | optimized geometry

Lattice parameters (Å, degrees): 3.5673 3.5673 13.8302 90.00 90.00 120.00
Sites, in units of the cell vectors:
Cl (0.0000, 0.0000, 0.0000)
Er (0.6667, 0.3333, 0.1515)
Er (0.0000, 0.0000, 0.3281)
Er (0.0000, 0.0000, 0.6719)
Er (0.6667, 0.3333, 0.8485)
I (0.6667, 0.3333, 0.5000)
N (0.3333, 0.6667, 0.2309)
N (0.3333, 0.6667, 0.7691)

Results
total magnetization: 0.00 μB per atom
space group: P-6m2
uncorrected energy: -6.162 eV per atom
mass density: 9.4 g/cm3

Record 7
HfZrCo | PBE | optimized geometry

Lattice parameters (Å, degrees): 4.3858 4.3858 4.3858 60.00 60.00 60.00
Sites, in units of the cell vectors:
Co (0.2500, 0.2500, 0.2500)
Hf (0.0000, 0.0000, 0.0000)
Zr (0.7500, 0.7500, 0.7500)

Results
formation energy: 822 meV per atom
total magnetization: 0.00 μB per atom
E above lowest polymorph: 1100 meV per atom
space group: F-43m
uncorrected energy: -7.714 eV per atom
mass density: 9.1 g/cm3

Record 8
LiFeSnBi | PBE | optimized geometry

Lattice parameters (Å, degrees): 4.8227 4.8227 4.8227 60.00 60.00 60.00
Sites, in units of the cell vectors:
Bi (0.5000, 0.5000, 0.5000)
Fe (0.2500, 0.2500, 0.2500)
Li (0.7500, 0.7500, 0.7500)
Sn (0.0000, 0.0000, 0.0000)

Results
total magnetization: 0.52 μB per atom
E above lowest polymorph: 0 meV per atom
space group: F-43m
uncorrected energy: -4.435 eV per atom
mass density: 8.2 g/cm3

Record 9
BeCuMoAs | PBE | optimized geometry

Lattice parameters (Å, degrees): 4.2063 4.2063 4.2063 60.00 60.00 60.00
Sites, in units of the cell vectors:
As (0.0000, 0.0000, 0.0000)
Be (0.5000, 0.5000, 0.5000)
Cu (0.7500, 0.7500, 0.7500)
Mo (0.2500, 0.2500, 0.2500)

Results
total magnetization: 0.00 μB per atom
E above lowest polymorph: 0 meV per atom
space group: F-43m
uncorrected energy: -5.411 eV per atom
mass density: 7.7 g/cm3

Record 10
Pr3Er3Te2Pd | PBE | optimized geometry

Lattice parameters (Å, degrees): 8.5105 8.5105 4.0818 90.00 90.00 120.00
Sites, in units of the cell vectors:
Er (0.7595, 0.0000, 0.5000)
Er (0.2405, 0.2405, 0.5000)
Er (0.0000, 0.7595, 0.5000)
Pd (0.0000, 0.0000, 0.0000)
Pr (0.4055, 0.0000, 0.0000)
Pr (0.0000, 0.4055, 0.0000)
Pr (0.5945, 0.5945, 0.0000)
Te (0.6667, 0.3333, 0.5000)
Te (0.3333, 0.6667, 0.5000)

Results
total magnetization: 0.00 μB per atom
E above lowest polymorph: 0 meV per atom
space group: P-62m
uncorrected energy: -5.251 eV per atom
mass density: 8.3 g/cm3

Record 11
Ho2U | PBE | optimized geometry

Lattice parameters (Å, degrees): 8.7135 8.7135 8.7135 60.00 60.00 60.00
Sites, in units of the cell vectors:
Ho (0.3750, 0.3750, 0.3750)
Ho (0.8750, 0.3750, 0.3750)
Ho (0.3750, 0.8750, 0.3750)
Ho (0.3750, 0.3750, 0.8750)
U (0.2500, 0.2500, 0.2500)
U (0.5000, 0.5000, 0.5000)

Results
formation energy: 4324 meV per atom
total magnetization: 4.01 μB per atom
space group: Fd-3m
uncorrected energy: -2.493 eV per atom
mass density: 4.0 g/cm3

Record 12
NaHfNbOs | PBE | optimized geometry

Lattice parameters (Å, degrees): 4.6525 4.6525 4.6525 60.00 60.00 60.00
Sites, in units of the cell vectors:
Hf (0.0000, 0.0000, 0.0000)
Na (0.7500, 0.7500, 0.7500)
Nb (0.5000, 0.5000, 0.5000)
Os (0.2500, 0.2500, 0.2500)

Results
total magnetization: 0.00 μB per atom
E above lowest polymorph: 0 meV per atom
space group: F-43m
uncorrected energy: -7.904 eV per atom
mass density: 11.3 g/cm3